First-principles (GGA+U) data for a relaxed structure of SmTlW2O8, as listed in the Alexandria database.

The space group is C2/c (No. 15) and the conventional cell measures 11.074, 10.855 and 7.526 Å, with angles of 90.00, 130.36 and 90.00 degrees. The asymmetric unit holds Sm at (0.000, 0.224, 0.250), Tl at (0.000, 0.214, 0.750), W at (0.194, 0.495, 0.216), O at (0.019, 0.392, 0.469), O at (0.136, 0.089, 0.191), O at (0.187, 0.437, 0.941) and O at (0.218, 0.154, 0.629).

Its total energy is -7.346 eV/atom.